DFT (PBE) results for crystalline La2Mg16Rh at its relaxed geometry.

Unit cell a=10.2670 b=10.2670 c=15.0030 alpha=90.00 beta=90.00 gamma=120.00
Space group R3m (No. 160, hexagonal axes)
Unique sites:
La 0.0000 0.0000 0.0000 [3 per cell]
La 0.0000 0.0000 0.3545 [3 per cell]
Mg 0.0000 0.0000 0.7391 [3 per cell]
Mg 0.0003 0.2970 0.6665 [18 per cell]
Mg 0.0130 0.5065 0.1684 [9 per cell]
Mg 0.1690 0.3380 0.1554 [9 per cell]
Mg 0.1691 0.3383 0.8482 [9 per cell]
Rh 0.0000 0.0000 0.5473 [3 per cell]

Output
calculated total energy: -2.3464 eV per atom
mass density: 2.799 g/cm³